Entry 1:
The following is a DFT calculation (GGA-PBE) of a relaxed structure of SmDy8Sn6.

Unit cell a=9.054 b=9.054 c=8.332 alpha=57.09 beta=57.09 gamma=60.00
Fractional coordinates of all 15 atoms:
Sn1 0.067 0.731 0.797
Dy1 0.774 0.106 0.682
Dy2 0.106 0.438 0.682
Dy3 0.894 0.562 0.318
Sn2 0.933 0.269 0.203
Dy4 0.667 0.667 0.000
Dy5 0.438 0.774 0.682
Dy6 0.226 0.894 0.318
Sn3 0.731 0.404 0.797
Sn4 0.404 0.067 0.797
Sn5 0.269 0.596 0.203
Sn6 0.596 0.933 0.203
Dy7 0.333 0.333 0.000
Dy8 0.562 0.226 0.318
Sm1 0.000 0.000 0.000

The space group is R-3 (148). Its crystal system is trigonal. The mass density comes out at 7.8 g/cm³. Its formation energy is -0.542 eV/atom.

***

Entry 2:
The following is a DFT calculation (GGA-PBE) of a relaxed structure of Sm3DySn12.

Unit cell a=4.760 b=4.760 c=18.780 alpha=90.00 beta=90.00 gamma=90.00
Fractional coordinates of all 16 atoms:
Sn1 0.500 0.500 0.751
Sn2 0.500 0.000 0.877
Dy1 0.000 0.000 0.000
Sm1 0.000 0.000 0.500
Sn3 0.000 0.500 0.877
Sn4 0.000 0.500 0.374
Sm2 0.000 0.000 0.249
Sn5 0.500 0.000 0.374
Sn6 0.000 0.500 0.626
Sn7 0.500 0.500 0.249
Sn8 0.500 0.500 0.500
Sm3 0.000 0.000 0.751
Sn9 0.500 0.000 0.626
Sn10 0.000 0.500 0.123
Sn11 0.500 0.000 0.123
Sn12 0.500 0.500 0.000

The space group is P4/mmm (123). Its crystal system is tetragonal. The mass density comes out at 8.0 g/cm³. Its formation energy is -0.467 eV/atom.

***

Entry 3:
The following is a DFT calculation (GGA-PBE) of a relaxed structure of Sm5DySn4.

Unit cell a=5.366 b=7.238 c=11.210 alpha=129.83 beta=103.85 gamma=90.00
Fractional coordinates of all 10 atoms:
Sm1 0.167 0.327 0.333
Sn1 0.992 0.738 0.984
Dy1 0.500 0.000 0.000
Sn2 0.325 0.900 0.651
Sm2 0.166 0.836 0.332
Sn3 0.675 0.100 0.349
Sm3 0.833 0.673 0.667
Sm4 0.500 0.500 0.000
Sn4 0.008 0.262 0.016
Sm5 0.834 0.164 0.668

The space group is C2/m (12). Its crystal system is monoclinic. The mass density comes out at 7.3 g/cm³. Its formation energy is -0.548 eV/atom.

***

> Look up the formation energy of the first one.

-0.542 eV/atom

***

> Among the records above, which one has the highest formation energy?

Sm3DySn12